(1)
The following is a DFT calculation (PBE) of crystalline Ba5P2O at its relaxed geometry.

Lattice parameters (Å, degrees): 14.7366 5.0578 16.6255 90.00 90.00 90.00
With the nearest neighbours (Å) after each atom.
Positions (direct):
Ba 0.0127 0.2500 0.1550  1 O 2.59
Ba 0.0190 0.7500 0.3961  4 P 3.26-3.45
Ba 0.1965 0.2500 0.9599  1 O 2.77
Ba 0.2455 0.7500 0.1183  2 O 2.68
Ba 0.2467 0.2500 0.2800  1 O 2.71
Ba 0.2533 0.7500 0.7800  1 O 2.71
Ba 0.2545 0.2500 0.6183  2 O 2.68
Ba 0.3035 0.7500 0.4599  1 O 2.77
Ba 0.4810 0.2500 0.8961  4 P 3.26-3.45
Ba 0.4873 0.7500 0.6550  1 O 2.59
Ba 0.5127 0.2500 0.3450  1 O 2.59
Ba 0.5190 0.7500 0.1039  4 P 3.26-3.45
Ba 0.6965 0.2500 0.5401  1 O 2.77
Ba 0.7455 0.7500 0.3817  2 O 2.68
Ba 0.7467 0.2500 0.2200  1 O 2.71
Ba 0.7533 0.7500 0.7200  1 O 2.71
Ba 0.7545 0.2500 0.8817  2 O 2.68
Ba 0.8035 0.7500 0.0401  1 O 2.77
Ba 0.9810 0.2500 0.6039  4 P 3.26-3.45
Ba 0.9873 0.7500 0.8450  1 O 2.59
P 0.1128 0.2500 0.7718  7 Ba 3.27-3.40
P 0.1426 0.2500 0.4540  7 Ba 3.19-3.47
P 0.3574 0.7500 0.9540  7 Ba 3.19-3.47
P 0.3872 0.7500 0.2718  7 Ba 3.27-3.40
P 0.6128 0.2500 0.7282  7 Ba 3.27-3.40
P 0.6426 0.2500 0.0460  7 Ba 3.19-3.47
P 0.8574 0.7500 0.5460  7 Ba 3.19-3.47
P 0.8872 0.7500 0.2282  7 Ba 3.27-3.40
O 0.1855 0.2500 0.1262  5 Ba 2.59-2.77
O 0.3145 0.7500 0.6262  5 Ba 2.59-2.77
O 0.6855 0.2500 0.3738  5 Ba 2.59-2.77
O 0.8145 0.7500 0.8738  5 Ba 2.59-2.77

## Properties
Space-group type   No. 62
Formation energy (no corrections)   -1.1856 eV per atom
Density of states at the Fermi level   17.4 states/eV per cell
Magnetic moment   0.18 μB/atom

---

(2)
The following is a DFT calculation (PBE) of crystalline Ba6P3O at its relaxed geometry.

Lattice parameters (Å, degrees): 10.0856 10.0856 7.5904 90.00 90.00 102.76
With the nearest neighbours (Å) after each atom.
Positions (direct):
Ba 0.0436 0.9564 0.5000  1 O 2.52
Ba 0.1110 0.5818 0.4832  1 O 2.57
Ba 0.2130 0.7870 0.9824  1 O 2.62
Ba 0.3230 0.3585 0.9644  4 P 3.19-3.36
Ba 0.3585 0.3230 0.4644  4 P 3.19-3.36
Ba 0.4182 0.8890 0.4832  1 O 2.57
Ba 0.5818 0.1110 0.9832  1 O 2.57
Ba 0.6415 0.6770 0.9644  4 P 3.19-3.36
Ba 0.6770 0.6415 0.4644  4 P 3.19-3.36
Ba 0.7870 0.2130 0.4824  1 O 2.62
Ba 0.8890 0.4182 0.9832  1 O 2.57
Ba 0.9564 0.0436 0.0000  1 O 2.52
P 0.0752 0.2864 0.6942  6 Ba 3.19-3.39
P 0.2864 0.0752 0.1942  6 Ba 3.19-3.39
P 0.3841 0.6159 0.2427  7 Ba 3.26-3.36
P 0.6159 0.3841 0.7427  7 Ba 3.26-3.36
P 0.7136 0.9248 0.6942  6 Ba 3.19-3.39
P 0.9248 0.7136 0.1942  6 Ba 3.19-3.39
O 0.1885 0.8115 0.6415  4 Ba 2.52-2.62
O 0.8115 0.1885 0.1415  4 Ba 2.52-2.62

## Properties
Space-group type   No. 36
Formation energy (no corrections)   -1.2105 eV per atom
Density of states at the Fermi level   8.3 states/eV per cell
Magnetic moment   0.08 μB/atom

---

(3)
The following is a DFT calculation (PBE) of crystalline Ba2PO at its relaxed geometry.

Lattice parameters (Å, degrees): 5.2979 5.2979 5.2979 60.00 60.00 60.00
With the nearest neighbours (Å) after each atom.
Positions (direct):
Ba 0.2500 0.2500 0.2500  4 O 3.24, 4 P 3.24
Ba 0.7500 0.7500 0.7500  4 O 3.24, 4 P 3.24
P 0.0000 0.0000 0.0000  8 Ba 3.24
O 0.5000 0.5000 0.5000  8 Ba 3.24

## Properties
Space-group type   No. 225
Formation energy (no corrections)   -1.0756 eV per atom
Density of states at the Fermi level   5.9 states/eV per cell
Energy relative to the lowest polymorph listed for this composition   0.3717 eV/atom
Magnetic moment   0.25 μB/atom

---

(4)
The following is a DFT calculation (PBE) of crystalline Ba6P2O at its relaxed geometry.

Lattice parameters (Å, degrees): 7.3306 8.5022 12.9864 90.00 124.18 90.00
With the nearest neighbours (Å) after each atom.
Positions (direct):
Ba 0.0904 0.1944 0.4330  1 O 2.93
Ba 0.0904 0.3056 0.9330  1 O 2.93
Ba 0.2428 0.6606 0.4341  1 O 2.73
Ba 0.2428 0.8394 0.9341  1 O 2.73
Ba 0.3799 0.0363 0.2397  1 O 2.79
Ba 0.3799 0.4637 0.7397  1 O 2.79
Ba 0.6201 0.5363 0.2603  1 O 2.79
Ba 0.6201 0.9637 0.7603  1 O 2.79
Ba 0.7572 0.1606 0.0659  1 O 2.73
Ba 0.7572 0.3394 0.5659  1 O 2.73
Ba 0.9096 0.6944 0.0670  1 O 2.93
Ba 0.9096 0.8056 0.5670  1 O 2.93
P 0.1844 0.1178 0.7461  6 Ba 3.25-3.36
P 0.1844 0.3822 0.2461  6 Ba 3.25-3.36
P 0.8156 0.6178 0.7539  6 Ba 3.25-3.36
P 0.8156 0.8822 0.2539  6 Ba 3.25-3.36
O 0.0000 0.0000 0.0000  6 Ba 2.73-2.93
O 0.0000 0.5000 0.5000  6 Ba 2.73-2.93

## Properties
Space-group type   No. 14
Formation energy (no corrections)   -1.0270 eV per atom
Density of states at the Fermi level   8.6 states/eV per cell
Magnetic moment   0.23 μB/atom

---

(5)
The following is a DFT calculation (PBE) of crystalline Ba2PO at its relaxed geometry.

Lattice parameters (Å, degrees): 8.5918 8.5918 8.5918 33.16 33.16 33.16
With the nearest neighbours (Å) after each atom.
Positions (direct):
Ba 0.0943 0.0943 0.0943  1 O 2.30
Ba 0.9057 0.9057 0.9057  1 O 2.30
P 0.5000 0.5000 0.5000  6 Ba 3.33
O 0.0000 0.0000 0.0000  2 Ba 2.30

## Properties
Space-group type   No. 166
Formation energy (no corrections)   -1.1504 eV per atom
Density of states at the Fermi level   4.7 states/eV per cell
Energy relative to the lowest polymorph listed for this composition   0.2969 eV/atom
Magnetic moment   0.26 μB/atom

---

(6)
The following is a DFT calculation (PBE) of crystalline Ba5P3O13 at its relaxed geometry.

Lattice parameters (Å, degrees): 10.3857 10.3857 7.8182 90.00 90.00 120.00
With the nearest neighbours (Å) after each atom.
Positions (direct):
Ba 0.0169 0.7535 0.0000  7 O 2.65-2.96
Ba 0.2465 0.2635 0.0000  7 O 2.65-2.96
Ba 0.2635 0.0169 0.5000  7 O 2.65-2.96
Ba 0.3333 0.6667 0.2500  6 O 2.74-2.80
Ba 0.3333 0.6667 0.7499  6 O 2.74-2.80
Ba 0.6667 0.3333 0.2499  6 O 2.74-2.80
Ba 0.6667 0.3333 0.7500  6 O 2.74-2.80
Ba 0.7365 0.9831 0.0000  7 O 2.65-2.96
Ba 0.7535 0.7365 0.5000  7 O 2.65-2.96
Ba 0.9831 0.2465 0.5000  7 O 2.65-2.96
P 0.0342 0.6331 0.5001  4 O 1.56-1.57
P 0.3669 0.4011 0.5001  4 O 1.56-1.57
P 0.4011 0.0342 0.0001  4 O 1.56-1.57
P 0.5989 0.9658 0.5001  4 O 1.56-1.57
P 0.6331 0.5989 0.0001  4 O 1.56-1.57
P 0.9658 0.3669 0.0001  4 O 1.56-1.57
O 0.0000 0.0000 0.4984  3 Ba 2.65
O 0.0000 0.0000 0.9984  3 Ba 2.65
O 0.0821 0.7343 0.3379  1 P 1.56
O 0.0820 0.7341 0.6624  1 P 1.56
O 0.1199 0.5448 0.4999  1 P 1.57
O 0.1370 0.4776 0.0000  1 P 1.56
O 0.2657 0.3478 0.3379  1 P 1.56
O 0.2659 0.3480 0.6624  1 P 1.56
O 0.3405 0.8630 0.0000  1 P 1.56
O 0.3480 0.0820 0.1624  1 P 1.56
O 0.3478 0.0821 0.8379  1 P 1.56
O 0.4249 0.8801 0.4999  1 P 1.57
O 0.4552 0.5751 0.4999  1 P 1.57
O 0.4776 0.3405 0.5000  1 P 1.56
O 0.5224 0.6595 0.0000  1 P 1.56
O 0.5448 0.4249 0.9999  1 P 1.57
O 0.5751 0.1199 0.9999  1 P 1.57
O 0.6522 0.9179 0.3379  1 P 1.56
O 0.6520 0.9180 0.6624  1 P 1.56
O 0.6595 0.1370 0.5000  1 P 1.56
O 0.7341 0.6520 0.1624  1 P 1.56
O 0.7343 0.6522 0.8379  1 P 1.56
O 0.8630 0.5224 0.5000  1 P 1.56
O 0.8801 0.4552 0.9999  1 P 1.57
O 0.9180 0.2659 0.1624  1 P 1.56
O 0.9179 0.2657 0.8379  1 P 1.56

## Properties
Space-group type   No. 173
Formation energy (no corrections)   -2.7648 eV per atom
Density of states at the Fermi level   3.9 states/eV per cell
Energy relative to the lowest polymorph listed for this composition   0.0000 eV/atom
Magnetic moment   0.06 μB/atom

---

(7)
The following is a DFT calculation (PBE) of crystalline BaP4O11 at its relaxed geometry.

Lattice parameters (Å, degrees): 9.4464 13.2113 13.1364 90.00 133.62 90.00
With the nearest neighbours (Å) after each atom.
Positions (direct):
Ba 0.0390 0.0251 0.2689  6 O 2.63-2.70
Ba 0.0390 0.4749 0.7689  6 O 2.63-2.70
Ba 0.9610 0.5251 0.2311  6 O 2.63-2.70
Ba 0.9610 0.9749 0.7311  6 O 2.63-2.70
P 0.3310 0.2074 0.9154  4 O 1.48-1.65
P 0.3310 0.2926 0.4154  4 O 1.48-1.65
P 0.3861 0.6640 0.6141  4 O 1.47-1.60
P 0.3861 0.8360 0.1141  4 O 1.47-1.60
P 0.3914 0.6672 0.2756  4 O 1.47-1.60
P 0.3914 0.8328 0.7756  4 O 1.47-1.60
P 0.4949 0.0002 0.6896  4 O 1.49-1.66
P 0.4949 0.4998 0.1896  4 O 1.49-1.66
P 0.5051 0.9998 0.3104  4 O 1.49-1.66
P 0.5051 0.5002 0.8104  4 O 1.49-1.66
P 0.6086 0.1672 0.2244  4 O 1.47-1.60
P 0.6086 0.3328 0.7244  4 O 1.47-1.60
P 0.6139 0.1640 0.8859  4 O 1.47-1.60
P 0.6139 0.3360 0.3859  4 O 1.47-1.60
P 0.6690 0.7074 0.5846  4 O 1.48-1.65
P 0.6690 0.7926 0.0846  4 O 1.48-1.65
O 0.1876 0.2088 0.3403  1 P 1.48
O 0.1876 0.2912 0.8403  1 P 1.48
O 0.2128 0.6127 0.4872  1 P 1.47
O 0.2128 0.8873 0.9872  1 P 1.47
O 0.2215 0.6178 0.2381  1 P 1.47
O 0.2215 0.8822 0.7381  1 P 1.47
O 0.2731 0.0990 0.8872  1 P 1.49
O 0.2731 0.4010 0.3872  1 P 1.49
O 0.3035 0.5176 0.0443  1 P 1.49
O 0.3035 0.9824 0.5443  1 P 1.49
O 0.3187 0.5193 0.7725  1 P 1.49
O 0.3187 0.9807 0.2725  1 P 1.49
O 0.3196 0.7486 0.6610  2 P 1.60
O 0.3196 0.7514 0.1610  2 P 1.60
O 0.4581 0.0942 0.7533  2 P 1.58-1.66
O 0.4581 0.4058 0.2533  2 P 1.58-1.66
O 0.4607 0.0956 0.2096  2 P 1.58-1.66
O 0.4607 0.4044 0.7096  2 P 1.58-1.66
O 0.4728 0.2318 0.0848  2 P 1.58-1.65
O 0.4728 0.2682 0.5848  2 P 1.58-1.65
O 0.4886 0.2288 0.9006  2 P 1.58-1.65
O 0.4886 0.2712 0.4006  2 P 1.58-1.65
O 0.5114 0.7288 0.5994  2 P 1.58-1.65
O 0.5114 0.7712 0.0994  2 P 1.58-1.65
O 0.5272 0.7318 0.4152  2 P 1.58-1.65
O 0.5272 0.7682 0.9152  2 P 1.58-1.65
O 0.5393 0.5956 0.2904  2 P 1.58-1.66
O 0.5393 0.9044 0.7904  2 P 1.58-1.66
O 0.5419 0.5942 0.7467  2 P 1.58-1.66
O 0.5419 0.9058 0.2467  2 P 1.58-1.66
O 0.6804 0.2486 0.8390  2 P 1.60
O 0.6804 0.2514 0.3390  2 P 1.60
O 0.6813 0.0193 0.7275  1 P 1.49
O 0.6813 0.4807 0.2275  1 P 1.49
O 0.6965 0.0176 0.4557  1 P 1.49
O 0.6965 0.4824 0.9557  1 P 1.49
O 0.7269 0.5990 0.6128  1 P 1.49
O 0.7269 0.9010 0.1128  1 P 1.49
O 0.7785 0.1178 0.2619  1 P 1.47
O 0.7785 0.3822 0.7619  1 P 1.47
O 0.7872 0.1127 0.0128  1 P 1.47
O 0.7872 0.3873 0.5128  1 P 1.47
O 0.8124 0.7088 0.1597  1 P 1.48
O 0.8124 0.7912 0.6597  1 P 1.48

## Properties
Space-group type   No. 14
Formation energy (no corrections)   -2.2953 eV per atom
Density of states at the Fermi level   0.0 states/eV per cell
Energy relative to the lowest polymorph listed for this composition   0.0000 eV/atom
Magnetic moment   0.01 μB/atom

---

(8)
The following is a DFT calculation (PBE) of crystalline BaP2O6 at its relaxed geometry.

Lattice parameters (Å, degrees): 7.6858 6.9836 12.0157 90.00 125.02 90.00
With the nearest neighbours (Å) after each atom.
Positions (direct):
Ba 0.1765 0.1001 0.3254  8 O 2.75-3.06
Ba 0.1765 0.3999 0.8254  8 O 2.75-3.06
Ba 0.8235 0.6001 0.1746  8 O 2.75-3.06
Ba 0.8235 0.8999 0.6746  8 O 2.75-3.06
P 0.2109 0.7042 0.5803  4 O 1.50-1.63
P 0.2109 0.7958 0.0803  4 O 1.50-1.63
P 0.4541 0.6067 0.3368  4 O 1.50-1.66
P 0.4541 0.8933 0.8368  4 O 1.50-1.66
P 0.5459 0.1067 0.1632  4 O 1.50-1.66
P 0.5459 0.3933 0.6632  4 O 1.50-1.66
P 0.7891 0.2042 0.9197  4 O 1.50-1.63
P 0.7891 0.2958 0.4197  4 O 1.50-1.63
O 0.0728 0.6762 0.6308  1 P 1.51
O 0.0728 0.8238 0.1308  1 P 1.51
O 0.1154 0.7194 0.9403  1 P 1.50
O 0.1154 0.7806 0.4403  1 P 1.50
O 0.2848 0.0285 0.8138  1 P 1.50
O 0.2848 0.4715 0.3138  1 P 1.50
O 0.3215 0.0010 0.0981  2 P 1.61-1.62
O 0.3215 0.4990 0.5981  2 P 1.61-1.62
O 0.4108 0.6604 0.1887  2 P 1.63-1.66
O 0.4108 0.8396 0.6887  2 P 1.63-1.66
O 0.4968 0.7102 0.9147  1 P 1.50
O 0.4968 0.7898 0.4147  1 P 1.50
O 0.5032 0.2102 0.5853  1 P 1.50
O 0.5032 0.2898 0.0853  1 P 1.50
O 0.5892 0.1604 0.3113  2 P 1.63-1.66
O 0.5892 0.3396 0.8113  2 P 1.63-1.66
O 0.6785 0.5010 0.4019  2 P 1.61-1.62
O 0.6785 0.9990 0.9019  2 P 1.61-1.62
O 0.7152 0.5285 0.6862  1 P 1.50
O 0.7152 0.9715 0.1862  1 P 1.50
O 0.8846 0.2194 0.5597  1 P 1.50
O 0.8846 0.2806 0.0597  1 P 1.50
O 0.9272 0.1762 0.8692  1 P 1.51
O 0.9272 0.3238 0.3692  1 P 1.51

## Properties
Space-group type   No. 14
Formation energy (no corrections)   -2.5142 eV per atom
Density of states at the Fermi level   0.0 states/eV per cell
Magnetic moment   0.00 μB/atom

---

- Look up the magnetic moment of the fourth one.
  0.23 μB/atom

---

- Among the records above, which one has the lowest formation energy (no corrections)?
  Ba5P3O13